Record 1
# Tb2Tm8Hg

An optimized crystal structure of Tb2Tm8Hg (PBE, Alexandria).

Output
The density of states at the Fermi level is 15.42 states/eV per cell. The calculation puts the formation energy at -0.05 eV/atom. As for the mass density: 9.48 g/cm3. Its total energy is -4.1691 eV per atom.

Lattice parameters (Å, degrees): 5.4670 6.2909 9.9540 84.57 105.94 90.00
Fractional positions:
Tb  0.7558  0.3306  0.5117
Tb  0.2442  0.6694  0.4883
Tm  0.4227  0.6042  0.8454
Tm  0.6585  0.8733  0.3170
Tm  0.8450  0.8010  0.6900
Tm  0.9556  0.2676  0.9111
Tm  0.1550  0.1990  0.3100
Tm  0.3415  0.1267  0.6830
Tm  0.5773  0.3958  0.1546
Tm  0.0444  0.7324  0.0889
Hg  0.5000  0.0000  0.0000

---

Record 2
# Tb3TmHg5

An optimized crystal structure of Tb3TmHg5 (PBE, Alexandria).

Output
The density of states at the Fermi level is 15.29 states/eV per cell. The calculation puts the formation energy at -0.42 eV/atom. As for the mass density: 11.76 g/cm3. Its total energy is -2.6247 eV per atom.

Lattice parameters (Å, degrees): 6.4902 9.1016 9.1017 120.00 90.00 90.00
Fractional positions:
Tb  0.7500  0.3698  0.3698
Tb  0.7500  0.0000  0.6302
Tb  0.7500  0.6302  0.0000
Tb  0.2500  0.6302  0.6302
Tb  0.2500  0.0000  0.3698
Tb  0.2500  0.3698  0.0000
Tm  0.0000  0.0000  0.0000
Tm  0.5000  0.0000  0.0000
Hg  0.0000  0.6667  0.3333
Hg  0.5000  0.3333  0.6667
Hg  0.0000  0.3333  0.6667
Hg  0.5000  0.6667  0.3333
Hg  0.7500  0.7043  0.7043
Hg  0.7500  0.0000  0.2957
Hg  0.7500  0.2957  0.0000
Hg  0.2500  0.2957  0.2957
Hg  0.2500  0.0000  0.7043
Hg  0.2500  0.7043  0.0000